This record from the Alexandria database describes crystalline KNa2MoO4 at its relaxed geometry. The functional is PBE+U.

Its total energy is -177.3 eV/cell.

The space group is Fmm2 (No. 42) and the conventional cell measures 8.349, 8.434 and 7.572 Å, with angles of 90.00, 90.00 and 90.00 degrees. The distinct sites, in fractional coordinates, are K at (0.000, 0.000, 0.000), Na at (0.250, 0.250, 0.252), Mo at (0.000, 0.000, 0.504), O at (0.000, 0.193, 0.381) and O at (0.193, 0.000, 0.630).